Compound: Cr3MoF
Source: Alexandria via LeMat-Bulk
Functional: PBE with a Hubbard U
Structure: optimized geometry

- density of states at the Fermi level (states/eV per atom) = 0.344
- distance to the lowest polymorph of the same formula (meV per atom) = 896

Unit cell a=5.1099 b=5.1099 c=5.1099 alpha=90.00 beta=90.00 gamma=90.00
Last column: nearest neighbours and their distance in Å.
Space group Pm-3m (No. 221)
Unique sites:
Cr 0.0000 0.0000 0.5000 x3  2 Mo 2.55
Mo 0.0000 0.0000 0.0000 x1  6 Cr 2.55
F 0.5000 0.5000 0.5000 x1  12 Cr 3.61